# Re2TcOs GGA-PBE relaxed
data_Re2TcOs
_cell_length_a 2.767
_cell_length_b 4.794
_cell_length_c 8.859
_cell_angle_alpha 89.93
_cell_angle_beta 90.00
_cell_angle_gamma 90.00
_space_group_name_H-M_alt 'P 1'
_space_group_IT_number 1
loop_
_space_group_symop_operation_xyz
'x,y,z'
loop_
_atom_site_label
_atom_site_type_symbol
_atom_site_fract_x
_atom_site_fract_y
_atom_site_fract_z
_atom_site_occupancy
Re1 Re 0.105 0.752 0.820 1
Re2 Re 0.105 0.085 0.321 1
Re3 Re 0.605 0.585 0.321 1
Re4 Re 0.605 0.252 0.820 1
Tc1 Tc 0.605 0.919 0.571 1
Tc2 Tc 0.105 0.419 0.571 1
Os1 Os 0.605 0.919 0.071 1
Os2 Os 0.105 0.419 0.071 1
# Offset from the most stable computed form = 0.0 meV/atom
# Energy of formation from the pure elements = -0.02 eV/atom
# Space-group type = C2/m
# Size of the total moment = 0.00 μB per formula unit